1.
VASP calculation (GGA-PBE) on crystalline Tb3Mg2CdIn3 at its relaxed geometry.

a b c (Å): 4.6842 7.5388 7.5388
angles (deg): 120.43 90.00 90.00
With the nearest neighbours (Å) after each atom.
Sites, in units of the cell vectors:
1 In 0.0000 0.3305 0.6668  2 Mg 2.91, 1 Cd 2.93, 6 Tb 3.22-3.24
2 Tb 0.5000 0.4394 0.4394  5 In 3.24-3.26, 2 Cd 3.33
3 In 0.0000 0.6668 0.3305  2 Mg 2.91, 1 Cd 2.93, 6 Tb 3.22-3.24
4 Cd 0.0000 0.7561 0.7561  4 In 2.93-2.99, 2 Mg 3.14
5 Mg 0.0000 0.2393 0.9982  4 In 2.91-2.95, 1 Cd 3.14, 1 Mg 3.15
6 Mg 0.0000 0.9982 0.2393  4 In 2.91-2.95, 1 Cd 3.14, 1 Mg 3.15
7 Tb 0.5000 0.9996 0.5662  5 In 3.22-3.28, 2 Mg 3.40
8 In 0.5000 0.0038 0.0038  4 Mg 2.95, 2 Cd 2.99, 3 Tb 3.26-3.28
9 Tb 0.5000 0.5662 0.9996  5 In 3.22-3.28, 2 Mg 3.40

## Properties
SG: Amm2 (38)
V (Å³/cell): 229.6
Electronic total energy (eV per atom): -3.31

2.
VASP calculation (GGA-PBE) on crystalline NdDy2N3 at its relaxed geometry.

a b c (Å): 3.5125 3.5125 8.6208
angles (deg): 90.00 90.00 120.00
With the nearest neighbours (Å) after each atom.
Sites, in units of the cell vectors:
1 Nd 0.0000 0.0000 0.5000  6 N 2.54
2 Dy 0.3333 0.6667 0.8380  6 N 2.46
3 N 0.0000 0.0000 0.0000  6 Dy 2.46
4 N 0.6667 0.3333 0.6769  3 Dy 2.46, 3 Nd 2.54
5 Dy 0.6667 0.3333 0.1620  6 N 2.46
6 N 0.3333 0.6667 0.3231  3 Dy 2.46, 3 Nd 2.54

## Properties
SG: P-3m1 (164)
V (Å³/cell): 92.1
Electronic total energy (eV per atom): -8.06

3.
VASP calculation (GGA-PBE) on crystalline PuBPt at its relaxed geometry.

a b c (Å): 4.3227 4.3227 4.3227
angles (deg): 60.00 60.00 60.00
With the nearest neighbours (Å) after each atom.
Sites, in units of the cell vectors:
1 Pu 0.0000 0.0000 0.0000  4 Pt 2.65, 4 B 2.65
2 Pt 0.7500 0.7500 0.7500  4 Pu 2.65
3 B 0.2500 0.2500 0.2500  4 Pu 2.65

## Properties
Offset from the most stable computed form (kJ/mol of formula units): 221
SG: F-43m (216)
V (Å³/cell): 57.1

4.
VASP calculation (GGA-PBE) on crystalline KHfHg at its relaxed geometry.

a b c (Å): 5.1025 5.1025 5.1025
angles (deg): 60.00 60.00 60.00
With the nearest neighbours (Å) after each atom.
Sites, in units of the cell vectors:
1 K 0.0000 0.0000 0.0000  4 Hg 3.12, 4 Hf 3.12
2 Hg 0.7500 0.7500 0.7500  4 K 3.12
3 Hf 0.2500 0.2500 0.2500  4 K 3.12

## Properties
Offset from the most stable computed form (kJ/mol of formula units): 164
SG: F-43m (216)
V (Å³/cell): 93.9

For each record above, in turn, the calculated spin magnetization values are 0.00; 0.00; 4.90; 0.00 Bohr magnetons per cell.